# 1
First-principles (SCAN) data for a PBEsol-optimized structure of Cu2Ni, as listed in Alexandria via LeMat-Bulk.

Properties
- Theoretical density: 9.43 Mg/m³
- Space-group type: Pnma
- DOS(E_F): 8.06 states/eV/cell
- Uncorrected energy: -15.476 eV/atom
- Calculated formation energy: 0.05 eV/atom
- V: 32.7 Å³/f.u.
- M_tot: 0.00 μB/cell

Structure (POSCAR):
```
Cu2Ni
1.0
3.524 0.000 0.000
0.000 4.976 0.000
0.000 0.000 7.459
Ni Cu
4 8
Direct
0.250 0.624 0.581 Ni
0.250 0.124 0.919 Ni
0.750 0.876 0.081 Ni
0.750 0.376 0.419 Ni
0.750 0.376 0.749 Cu
0.750 0.375 0.084 Cu
0.250 0.624 0.251 Cu
0.250 0.625 0.916 Cu
0.750 0.875 0.416 Cu
0.750 0.876 0.751 Cu
0.250 0.125 0.584 Cu
0.250 0.124 0.249 Cu
```

***

# 2
First-principles (SCAN) data for a PBEsol-optimized structure of Cu5Ni4, as listed in Alexandria via LeMat-Bulk.

Properties
- Theoretical density: 9.45 Mg/m³
- Space-group type: I4/mmm
- DOS(E_F): 6.69 states/eV/cell
- Uncorrected energy: -15.581 eV/atom
- Calculated formation energy: 0.05 eV/atom
- V: 97.1 Å³/f.u.
- M_tot: 1.95 μB/cell

Structure (POSCAR):
```
Cu5Ni4
1.0
-1.005 3.314 -0.582
-0.268 0.817 -5.478
-5.536 0.133 -0.272
Ni Cu
4 5
Direct
0.000 0.662 0.338 Ni
0.662 0.338 0.338 Ni
0.000 0.338 0.662 Ni
0.338 0.662 0.662 Ni
0.332 0.000 0.335 Cu
0.668 0.665 0.000 Cu
0.000 0.000 0.000 Cu
0.668 0.000 0.665 Cu
0.332 0.335 0.000 Cu
```

***

# 3
First-principles (SCAN) data for a PBEsol-optimized structure of CuNi3, as listed in Alexandria via LeMat-Bulk.

Properties
- Theoretical density: 9.44 Mg/m³
- Space-group type: I4/mmm
- DOS(E_F): 2.96 states/eV/cell
- Uncorrected energy: -15.886 eV/atom
- Calculated formation energy: 0.04 eV/atom
- V: 42.2 Å³/f.u.
- M_tot: 1.96 μB/cell

Structure (POSCAR):
```
CuNi3
1.0
-2.115 -1.542 2.302
2.585 -0.055 2.338
-1.229 3.910 -1.148
Ni Cu
3 1
Direct
0.250 0.750 0.500 Ni
0.500 0.500 0.000 Ni
0.750 0.250 0.500 Ni
0.000 0.000 0.000 Cu
```

***

# 4
First-principles (SCAN) data for a PBEsol-optimized structure of Cu4Ni, as listed in Alexandria via LeMat-Bulk.

Properties
- Theoretical density: 9.43 Mg/m³
- Space-group type: I4/m
- DOS(E_F): 2.06 states/eV/cell
- Uncorrected energy: -15.366 eV/atom
- Calculated formation energy: 0.03 eV/atom
- V: 55.1 Å³/f.u.
- M_tot: 0.00 μB/cell

Structure (POSCAR):
```
Cu4Ni
1.0
3.552 0.000 0.000
1.776 3.939 0.000
1.776 0.000 3.939
Ni Cu
1 4
Direct
0.000 0.000 0.000 Ni
0.399 0.802 0.400 Cu
0.799 0.600 0.802 Cu
0.201 0.400 0.198 Cu
0.601 0.198 0.600 Cu
```